Here is InCoOs2 after structural relaxation from the Alexandria database. Energies are from GGA-PBE.

```
4
Lattice="2.958 0.000 0.000 0.000 2.958 0.000 0.000 0.000 6.818" Properties=species:S:1:pos:R:3 pbc="T T T"
In 1.479 1.479 5.114
Co 1.479 1.479 1.705
Os 0.000 0.000 0.309
Os 0.000 0.000 3.100
```

For the calculated formation energy, the calculation gives 2.0 eV/f.u. The calculation puts the density of states at the Fermi level at 4.6 states/eV per cell. The size of the total moment is 0.89 Bohr magnetons per cell.

Here is In4CoOs after structural relaxation from the Alexandria database. Energies are from GGA-PBE.

```
6
Lattice="0.000 3.953 3.953 3.953 0.000 3.953 3.953 3.953 0.000" Properties=species:S:1:pos:R:3 pbc="T T T"
Os 5.929 5.929 5.929
In 2.965 2.965 2.965
In 2.965 4.941 4.941
In 4.941 4.941 2.965
In 4.941 2.965 4.941
Co 0.000 0.000 0.000
```

For the calculated formation energy, the calculation gives 6.9 eV/f.u. The calculation puts the density of states at the Fermi level at 6.8 states/eV per cell. The size of the total moment is 1.61 Bohr magnetons per cell.

Here is InCoOs2 after structural relaxation from the Alexandria database. Energies are from GGA-PBE.

```
4
Lattice="-1.778 4.320 1.211 -2.832 -2.498 -3.005 -1.315 -1.159 2.202" Properties=species:S:1:pos:R:3 pbc="T T T"
In -2.073 -1.828 -0.402
Os 0.000 0.000 0.000
Os -2.305 0.911 -0.897
Co -1.546 1.581 1.707
```

For the calculated formation energy, the calculation gives 2.6 eV/f.u. The calculation puts the density of states at the Fermi level at 5.1 states/eV per cell. The size of the total moment is 0.75 Bohr magnetons per cell.

Here is InCoOs2 after structural relaxation from the Alexandria database. Energies are from GGA-PBE.

```
8
Lattice="7.354 0.000 0.000 0.000 7.354 0.000 3.677 3.677 2.437" Properties=species:S:1:pos:R:3 pbc="T T T"
Os 9.192 8.723 1.827
Os 5.515 5.985 1.827
Os 2.308 5.515 0.609
Os 5.046 1.838 0.609
In 7.354 3.677 1.218
In 0.000 0.000 0.000
Co 3.677 7.354 1.218
Co 3.677 3.677 0.000
```

For the calculated formation energy, the calculation gives 3.4 eV/f.u. The calculation puts the density of states at the Fermi level at 5.4 states/eV per cell. The size of the total moment is 0.00 Bohr magnetons per cell.

Here is InCoOs after structural relaxation from the Alexandria database. Energies are from GGA-PBE.

```
3
Lattice="-5.914 0.673 -0.543 -5.648 -1.500 1.251 -0.682 1.699 2.158" Properties=species:S:1:pos:R:3 pbc="T T T"
In -4.367 0.843 1.667
Os -7.715 0.066 1.221
Co -0.845 1.661 2.137
```

For the calculated formation energy, the calculation gives 0.9 eV/f.u. The calculation puts the density of states at the Fermi level at 1.7 states/eV per cell. The size of the total moment is 0.00 Bohr magnetons per cell. For the relative energy among the computed polymorphs, the calculation gives 46 meV per atom.

Here is InCoOs after structural relaxation from the Alexandria database. Energies are from GGA-PBE.

```
6
Lattice="5.388 0.000 -0.005 0.000 2.907 0.000 -1.357 0.000 5.998" Properties=species:S:1:pos:R:3 pbc="T T T"
Os -0.603 2.180 5.263
Os 4.635 0.727 0.730
Co 2.066 0.727 0.787
Co 1.965 2.180 5.206
In 0.683 2.180 2.740
In 3.348 0.727 3.253
```

For the calculated formation energy, the calculation gives 0.9 eV/f.u. The calculation puts the density of states at the Fermi level at 4.9 states/eV per cell. The size of the total moment is 0.77 Bohr magnetons per cell. For the relative energy among the computed polymorphs, the calculation gives 34 meV per atom.

Here is InCoOs2 after structural relaxation from the Alexandria database. Energies are from GGA-PBE.

```
4
Lattice="8.992 0.016 0.009 8.551 2.782 0.009 8.551 1.364 2.425" Properties=species:S:1:pos:R:3 pbc="T T T"
Os 13.258 2.115 1.242
Os 25.884 4.129 2.424
Co 6.524 1.041 0.611
In 19.571 3.122 1.833
```

For the calculated formation energy, the calculation gives 2.0 eV/f.u. The calculation puts the density of states at the Fermi level at 3.3 states/eV per cell. The size of the total moment is 1.65 Bohr magnetons per cell.

Here is InCoOs after structural relaxation from the Alexandria database. Energies are from GGA-PBE.

```
12
Lattice="5.647 0.000 -0.005 0.000 2.845 0.000 -2.456 0.000 11.390" Properties=species:S:1:pos:R:3 pbc="T T T"
Os 0.153 1.422 3.606
Os 4.266 0.000 2.084
Os -1.075 0.000 9.301
Os 3.038 1.422 7.779
In -1.228 0.000 5.695
In 2.823 1.422 -0.003
In 1.595 0.000 5.692
In 0.000 1.422 0.000
Co 2.879 1.422 3.595
Co 1.651 0.000 9.290
Co 0.311 1.422 7.790
Co 1.539 0.000 2.095
```

For the calculated formation energy, the calculation gives 0.9 eV/f.u. The calculation puts the density of states at the Fermi level at 12.7 states/eV per cell. The size of the total moment is 2.90 Bohr magnetons per cell. For the relative energy among the computed polymorphs, the calculation gives 43 meV per atom.

Here is InCoOs3 after structural relaxation from the Alexandria database. Energies are from GGA-PBE.

```
5
Lattice="-1.964 3.988 0.347 -3.748 -1.696 -1.719 -1.406 -1.049 4.099" Properties=species:S:1:pos:R:3 pbc="T T T"
Os -1.874 -0.848 -0.860
Os -0.703 -0.525 2.049
Os -0.982 1.994 0.174
Co 0.000 0.000 0.000
In -3.558 0.621 1.363
```

For the calculated formation energy, the calculation gives 8.3 eV/f.u. The calculation puts the density of states at the Fermi level at 10.1 states/eV per cell. The size of the total moment is 2.68 Bohr magnetons per cell. For the relative energy among the computed polymorphs, the calculation gives 0 meV per atom.

Here is InCoOs2 after structural relaxation from the Alexandria database. Energies are from GGA-PBE.

```
4
Lattice="-1.255 0.112 2.484 -1.579 -0.316 -2.273 0.701 -8.965 0.758" Properties=species:S:1:pos:R:3 pbc="T T T"
Os 0.009 -0.121 0.010
Os -1.235 -2.425 0.302
Co 0.343 -4.381 0.371
In -0.899 -6.724 0.666
```

For the calculated formation energy, the calculation gives 2.7 eV/f.u. The calculation puts the density of states at the Fermi level at 5.7 states/eV per cell. The size of the total moment is 2.09 Bohr magnetons per cell.

Here is InCoOs after structural relaxation from the Alexandria database. Energies are from GGA-PBE.

```
6
Lattice="-2.739 -2.683 3.805 0.923 -2.517 -1.110 5.414 0.767 2.761" Properties=species:S:1:pos:R:3 pbc="T T T"
In -0.146 -3.096 3.104
In 1.129 -0.488 2.043
Co 3.821 -1.099 1.875
Co 3.905 -0.434 4.228
Os 2.476 -2.399 3.705
Os 2.484 -1.829 6.210
```

For the calculated formation energy, the calculation gives 0.8 eV/f.u. The calculation puts the density of states at the Fermi level at 3.9 states/eV per cell. The size of the total moment is 0.84 Bohr magnetons per cell. For the relative energy among the computed polymorphs, the calculation gives 21 meV per atom.

Here is InCo3Os after structural relaxation from the Alexandria database. Energies are from GGA-PBE.

```
5
Lattice="4.497 0.000 0.000 0.000 4.497 0.000 0.000 0.000 4.497" Properties=species:S:1:pos:R:3 pbc="T T T"
Co 2.248 0.000 0.000
Co 0.000 2.248 0.000
Co 0.000 0.000 2.248
In 2.248 2.248 2.248
Os 0.000 0.000 0.000
```

For the calculated formation energy, the calculation gives 6.4 eV/f.u. The calculation puts the density of states at the Fermi level at 8.8 states/eV per cell. The size of the total moment is 3.28 Bohr magnetons per cell. For the relative energy among the computed polymorphs, the calculation gives 0 meV per atom.

Here is InCoOs after structural relaxation from the Alexandria database. Energies are from GGA-PBE.

```
12
Lattice="-0.119 -3.974 2.474 -1.234 -1.297 -2.143 12.407 -1.561 -6.202" Properties=species:S:1:pos:R:3 pbc="T T T"
Os 3.228 -1.371 -1.030
Os 8.815 -2.800 -5.202
Os 9.060 -4.164 -2.698
Os 2.239 -4.032 -0.669
Co 6.670 -4.905 -2.693
Co 1.084 -3.475 1.480
Co 4.384 -1.928 -3.178
Co 11.205 -2.060 -5.208
In 10.744 -4.828 -5.086
In 0.310 -2.004 -0.785
In 5.157 -3.399 -0.913
In 7.131 -2.136 -2.815
```

For the calculated formation energy, the calculation gives 0.9 eV/f.u. The calculation puts the density of states at the Fermi level at 10.7 states/eV per cell. The size of the total moment is 0.01 Bohr magnetons per cell. For the relative energy among the computed polymorphs, the calculation gives 33 meV per atom.

Here is InCoOs2 after structural relaxation from the Alexandria database. Energies are from GGA-PBE.

```
4
Lattice="4.849 -0.006 0.000 1.819 4.495 0.000 -3.334 -2.245 2.713" Properties=species:S:1:pos:R:3 pbc="T T T"
Co 0.909 2.248 1.356
Os 0.000 0.000 0.000
Os 3.334 2.245 0.000
In 2.425 -0.003 1.356
```

For the calculated formation energy, the calculation gives 2.2 eV/f.u. The calculation puts the density of states at the Fermi level at 4.0 states/eV per cell. The size of the total moment is 0.00 Bohr magnetons per cell.

Here is InCoOs2 after structural relaxation from the Alexandria database. Energies are from GGA-PBE.

```
4
Lattice="4.679 0.004 0.000 1.305 4.494 0.000 -2.992 -2.249 2.808" Properties=species:S:1:pos:R:3 pbc="T T T"
Co 2.992 2.249 0.000
Os 0.000 0.000 0.000
Os 0.652 2.247 1.404
In 2.340 0.002 1.404
```

For the calculated formation energy, the calculation gives 1.9 eV/f.u. The calculation puts the density of states at the Fermi level at 5.1 states/eV per cell. The size of the total moment is 0.62 Bohr magnetons per cell.

Here is InCoOs after structural relaxation from the Alexandria database. Energies are from GGA-PBE.

```
3
Lattice="-0.707 -2.751 -0.141 1.290 1.251 -2.204 5.789 -1.614 2.472" Properties=species:S:1:pos:R:3 pbc="T T T"
Os 4.653 -1.206 0.204
Co 5.695 -1.588 2.432
In 1.814 -1.934 -0.036
```

For the calculated formation energy, the calculation gives 1.3 eV/f.u. The calculation puts the density of states at the Fermi level at 2.2 states/eV per cell. The size of the total moment is 0.09 Bohr magnetons per cell. For the relative energy among the computed polymorphs, the calculation gives 194 meV per atom.

Here is InCoOs2 after structural relaxation from the Alexandria database. Energies are from GGA-PBE.

```
4
Lattice="4.186 0.000 0.000 0.000 3.773 0.000 0.000 0.000 3.773" Properties=species:S:1:pos:R:3 pbc="T T T"
In 2.093 0.000 1.887
Co 2.093 1.887 0.000
Os 0.000 0.000 0.000
Os 0.000 1.887 1.887
```

For the calculated formation energy, the calculation gives 2.4 eV/f.u. The calculation puts the density of states at the Fermi level at 6.0 states/eV per cell. The size of the total moment is 0.00 Bohr magnetons per cell.

Here is InCoOs2 after structural relaxation from the Alexandria database. Energies are from GGA-PBE.

```
4
Lattice="8.947 0.002 0.001 8.506 2.775 0.001 8.506 1.354 2.423" Properties=species:S:1:pos:R:3 pbc="T T T"
Os 6.423 1.022 0.600
Os 25.812 4.108 2.412
In 19.568 3.114 1.828
Co 13.092 2.083 1.223
```

For the calculated formation energy, the calculation gives 1.7 eV/f.u. The calculation puts the density of states at the Fermi level at 4.1 states/eV per cell. The size of the total moment is 1.20 Bohr magnetons per cell.

Here is InCoOs after structural relaxation from the Alexandria database. Energies are from GGA-PBE.

```
3
Lattice="-4.206 0.573 -0.070 1.629 -3.568 1.624 0.132 1.304 2.731" Properties=species:S:1:pos:R:3 pbc="T T T"
Co 0.110 1.087 2.278
Os -0.206 -1.102 3.334
In -2.217 -0.373 1.405
```

For the calculated formation energy, the calculation gives 1.5 eV/f.u. The calculation puts the density of states at the Fermi level at 3.8 states/eV per cell. The size of the total moment is 2.00 Bohr magnetons per cell. For the relative energy among the computed polymorphs, the calculation gives 252 meV per atom.

Here is InCoOs2 after structural relaxation from the Alexandria database. Energies are from GGA-PBE.

```
4
Lattice="4.701 -0.007 0.011 3.858 2.687 0.011 0.784 0.245 4.767" Properties=species:S:1:pos:R:3 pbc="T T T"
Co 4.731 1.481 2.351
In 7.011 2.195 3.480
Os 2.303 0.721 1.110
Os 8.529 2.670 0.264
```

For the calculated formation energy, the calculation gives 1.7 eV/f.u. The calculation puts the density of states at the Fermi level at 4.7 states/eV per cell. The size of the total moment is 1.01 Bohr magnetons per cell.